Record 1
## Zn4FeCl (PBE)

Data for a geometry-optimized Zn4FeCl structure.

Cell lengths 5.2194, 5.2194, 5.2194 Å; angles 60.00, 60.00, 60.00 degrees
Last column: magnetic moment on the atom in μB.
Fractional coordinates of all 6 atoms:
Zn: 0.8794 0.3735 0.3735  -0.03
Zn: 0.3735 0.3735 0.8794  -0.03
Zn: 0.3735 0.8794 0.3735  -0.03
Zn: 0.3735 0.3735 0.3735  -0.03
Fe: 0.0000 0.0000 0.0000  3.03
Cl: 0.7500 0.7500 0.7500  0.03

Record 2
## ZnFeCl3 (PBE)

Data for a geometry-optimized ZnFeCl3 structure.

Summary:
The value obtained for the energy relative to the lowest polymorph listed for this composition is 0 meV/atom.

Cell lengths 4.8445, 4.8445, 4.8445 Å; angles 90.00, 90.00, 90.00 degrees
Last column: magnetic moment on the atom in μB.
Fractional coordinates of all 5 atoms:
Zn: 0.5000 0.5000 0.5000  0.19
Fe: 0.0000 0.0000 0.0000  -3.62
Cl: 0.0000 0.5000 0.0000  -0.11
Cl: 0.0000 0.0000 0.5000  -0.04
Cl: 0.5000 0.0000 0.0000  -0.18

Record 3
## ZnFeCl (PBE)

Data for a geometry-optimized ZnFeCl structure.

Summary:
The value obtained for the energy relative to the lowest polymorph listed for this composition is 0 meV/atom.

Cell lengths 3.1389, 3.1389, 5.9989 Å; angles 90.00, 90.00, 120.00 degrees
Last column: magnetic moment on the atom in μB.
Fractional coordinates of all 3 atoms:
Zn: 0.3333 0.6667 0.6211  -0.04
Fe: 0.6667 0.3333 0.3207  2.88
Cl: 0.0000 0.0000 0.0582  0.12

Record 4
## ZnFeCl (PBE)

Data for a geometry-optimized ZnFeCl structure.

Summary:
The value obtained for the energy relative to the lowest polymorph listed for this composition is 540 meV/atom.

Cell lengths 4.3058, 4.3058, 4.3058 Å; angles 60.00, 60.00, 60.00 degrees
Last column: magnetic moment on the atom in μB.
Fractional coordinates of all 3 atoms:
Zn: 0.0000 0.0000 0.0000  0.03
Fe: 0.7500 0.7500 0.7500  2.77
Cl: 0.5000 0.5000 0.5000  0.08

Record 5
## Zn3FeCl (PBE)

Data for a geometry-optimized Zn3FeCl structure.

Summary:
The value obtained for the energy relative to the lowest polymorph listed for this composition is 925 meV/atom.

Cell lengths 4.6572, 4.6572, 4.6572 Å; angles 90.00, 90.00, 90.00 degrees
Fractional coordinates of all 5 atoms:
Zn: 0.0000 0.5000 0.0000
Zn: 0.0000 0.0000 0.5000
Zn: 0.5000 0.0000 0.0000
Fe: 0.5000 0.5000 0.5000
Cl: 0.0000 0.0000 0.0000

Record 6
## ZnFeCl (PBE)

Data for a geometry-optimized ZnFeCl structure.

Summary:
The value obtained for the energy relative to the lowest polymorph listed for this composition is 760 meV/atom.

Cell lengths 4.2954, 4.2954, 4.2954 Å; angles 60.00, 60.00, 60.00 degrees
Last column: magnetic moment on the atom in μB.
Fractional coordinates of all 3 atoms:
Zn: 0.5000 0.5000 0.5000  -0.03
Fe: 0.0000 0.0000 0.0000  2.77
Cl: 0.7500 0.7500 0.7500  0.03

Record 7
## ZnFeCl3 (PBE)

Data for a geometry-optimized ZnFeCl3 structure.

Summary:
The value obtained for the energy relative to the lowest polymorph listed for this composition is 236 meV/atom.

Cell lengths 4.8360, 4.8360, 4.8360 Å; angles 90.00, 90.00, 90.00 degrees
Last column: magnetic moment on the atom in μB.
Fractional coordinates of all 5 atoms:
Zn: 0.0000 0.0000 0.0000  0.00
Fe: 0.5000 0.5000 0.5000  3.24
Cl: 0.0000 0.5000 0.0000  0.01
Cl: 0.0000 0.0000 0.5000  0.01
Cl: 0.5000 0.0000 0.0000  0.01

Record 8
## ZnFe4Cl (PBE)

Data for a geometry-optimized ZnFe4Cl structure.

Cell lengths 5.0051, 5.0051, 5.0051 Å; angles 60.00, 60.00, 60.00 degrees
Last column: magnetic moment on the atom in μB.
Fractional coordinates of all 6 atoms:
Zn: 0.7500 0.7500 0.7500  -0.07
Fe: 0.8689 0.3770 0.3770  2.81
Fe: 0.3770 0.3770 0.8689  2.81
Fe: 0.3770 0.8689 0.3770  2.81
Fe: 0.3770 0.3770 0.3770  2.81
Cl: 0.0000 0.0000 0.0000  0.22

Record 9
## Zn3FeCl (PBE)

Data for a geometry-optimized Zn3FeCl structure.

Summary:
The value obtained for the energy relative to the lowest polymorph listed for this composition is 0 meV/atom.

Cell lengths 4.8280, 4.8280, 4.8280 Å; angles 90.00, 90.00, 90.00 degrees
Last column: magnetic moment on the atom in μB.
Fractional coordinates of all 5 atoms:
Zn: 0.0000 0.5000 0.0000  -0.01
Zn: 0.0000 0.0000 0.5000  -0.01
Zn: 0.5000 0.0000 0.0000  -0.02
Fe: 0.0000 0.0000 0.0000  2.54
Cl: 0.5000 0.5000 0.5000  0.06

Record 10
## ZnFeCl (PBE)

Data for a geometry-optimized ZnFeCl structure.

Summary:
The value obtained for the energy relative to the lowest polymorph listed for this composition is 395 meV/atom.

Cell lengths 4.2130, 4.2130, 3.1480 Å; angles 90.00, 90.00, 120.00 degrees
Last column: magnetic moment on the atom in μB.
Fractional coordinates of all 3 atoms:
Zn: 0.3333 0.6667 0.6669  -0.03
Fe: 0.6667 0.3333 0.1669  2.78
Cl: 0.0000 0.0000 0.1662  0.07

Record 11
## ZnFeCl (PBE)

Data for a geometry-optimized ZnFeCl structure.

Summary:
The value obtained for the energy relative to the lowest polymorph listed for this composition is 90 meV/atom.

Cell lengths 6.3083, 6.3092, 2.9674 Å; angles 76.38, 76.41, 27.20 degrees
Last column: magnetic moment on the atom in μB.
Fractional coordinates of all 3 atoms:
Zn: 0.7035 0.7035 0.2965  -0.05
Fe: 0.3372 0.3372 0.6628  2.83
Cl: 0.9593 0.9593 0.0407  0.14

Record 12
## Zr4FeCl (PBE)

Data for a geometry-optimized Zr4FeCl structure.

Cell lengths 5.7624, 5.7624, 5.7624 Å; angles 60.00, 60.00, 60.00 degrees
Last column: magnetic moment on the atom in μB.
Fractional coordinates of all 6 atoms:
Zr: 0.3721 0.8836 0.3721  -0.05
Zr: 0.8836 0.3721 0.3721  -0.05
Zr: 0.3721 0.3721 0.8836  -0.05
Zr: 0.3721 0.3721 0.3721  -0.05
Fe: 0.0000 0.0000 0.0000  3.10
Cl: 0.7500 0.7500 0.7500  0.03

no.,formation energy (no corrections) (kJ/mol of atoms),E_tot (eV per atom),DOS at the Fermi energy (states/eV/cell)
1,35,-2.205,8.0
2,-31,-3.379,4.0
3,-3,-3.888,0.7
4,50,-3.348,3.0
5,129,-1.489,8.3
6,71,-3.129,1.1
7,-8,-3.143,18.9
8,51,-5.637,5.3
9,40,-2.414,5.7
10,36,-3.493,2.9
11,6,-3.798,0.8
12,68,-6.711,6.4